(1)
The following is a PBE calculation of crystalline ZnPH at its relaxed geometry, from Alexandria.

## Properties
ΔE to the lowest computed polymorph: 24 meV per atom
Uncorrected energy: -3.42 eV/atom

Cell: 5.555 6.185 6.251 Å, 90.00 94.63 90.00°
Space group C2 (No. 5)
Asymmetric unit:
Zn (0.000, 0.000, 0.000) [2 per cell]
Zn (0.000, 0.276, 0.500) [2 per cell]
P (0.247, 0.234, 0.803) [4 per cell]
H (0.083, 0.592, 0.286) [4 per cell]

***

(2)
The following is a PBE calculation of crystalline ZnPH at its relaxed geometry, from Alexandria.

## Properties
ΔE to the lowest computed polymorph: 146 meV per atom
Uncorrected energy: -3.30 eV/atom

Cell: 8.047 6.851 4.116 Å, 90.00 90.00 90.00°
Space group Pnma (No. 62)
Asymmetric unit:
Zn (0.000, 0.000, 0.000) [4 per cell]
P (0.035, 0.250, 0.367) [4 per cell]
H (0.139, 0.750, 0.554) [4 per cell]

***

(3)
The following is a PBE calculation of crystalline ZnPH at its relaxed geometry, from Alexandria.

## Properties
ΔE to the lowest computed polymorph: 9 meV per atom
Uncorrected energy: -3.44 eV/atom

Cell: 5.906 5.490 5.530 Å, 90.00 90.00 90.00°
Space group Ama2 (No. 40)
Asymmetric unit:
Zn (0.000, 0.000, 0.000) [4 per cell]
P (0.250, 0.220, 0.291) [4 per cell]
H (0.250, 0.036, 0.474) [4 per cell]